{"formula": "CoB2SbO", "functional": "PBE+U", "state": "relaxed", "lattice": [[4.485, 0.000, 0.000], [0.000, 4.028, 0.000], [0.000, 0.000, 4.485]], "species": ["Sb", "B", "B", "Co", "O"], "frac_coords": [[0.000, 0.000, 0.000], [0.000, 0.000, 0.500], [0.500, 0.000, 0.000], [0.500, 0.500, 0.500], [0.000, 0.500, 0.000]], "magnetic_moment_mub_per_fu": 2.0, "dos_ef_per_ev_atom": 0.4838, "total_energy_ev_per_atom": -4.0744}